1.
## SiTe2 (PBE)

Data for a geometry-optimized SiTe2 structure.

The uncorrected formation energy is 0.67 eV/atom.

The structure belongs to space group P6/mmm (No. 191); the cell edges are 5.5381, 5.5381 and 2.9952 Å and the angles 90.00°, 90.00° and 120.00°. The asymmetric unit holds Si at (0.0000, 0.0000, 0.0000) and Te at (0.3333, 0.6667, 0.5000).

2.
## Sr2TlGe (PBE)

Data for a geometry-optimized Sr2TlGe structure.

As for the energy relative to the elements: -86 meV per atom.

The structure belongs to space group R-3m (No. 166, hexagonal axes); the cell edges are 4.1396, 4.1396 and 32.7153 Å and the angles 90.00°, 90.00° and 120.00°. The asymmetric unit holds Sr at (0.0000, 0.0000, 0.1052), Tl at (0.0000, 0.0000, 0.0000) and Ge at (0.0000, 0.0000, 0.5000).

3.
## Mn2ZnP2 (PBE)

Data for a geometry-optimized Mn2ZnP2 structure.

As for the energy relative to the elements: -66 meV per atom.

The structure belongs to space group P-3m1 (No. 164); the cell edges are 4.0493, 4.0493 and 4.7192 Å and the angles 90.00°, 90.00° and 120.00°. The asymmetric unit holds Mn at (0.3333, 0.6667, 0.2923), Zn at (0.0000, 0.0000, 0.5000) and P at (0.3333, 0.6667, 0.8000).

4.
## SmPaFe2 (PBE)

Data for a geometry-optimized SmPaFe2 structure.

The polymorph energy (0 for the lowest one) comes out at 0 meV per atom. As for the energy relative to the elements: -9 meV per atom.

The structure belongs to space group P4/mmm (No. 123); the cell edges are 3.3070, 3.3070 and 6.9378 Å and the angles 90.00°, 90.00° and 90.00°. The asymmetric unit holds Sm at (0.0000, 0.0000, 0.0000), Pa at (0.0000, 0.0000, 0.5000) and Fe at (0.5000, 0.5000, 0.3042).

5.
## Nd8Ni3RuCl4 (PBE)

Data for a geometry-optimized Nd8Ni3RuCl4 structure.

The uncorrected formation energy is -0.92 eV/atom.

The structure belongs to space group R-3m (No. 166, hexagonal axes); the cell edges are 8.0784, 8.0784 and 22.5834 Å and the angles 90.00°, 90.00° and 120.00°. The asymmetric unit holds Nd at (0.0000, 0.0000, 0.2334), Nd at (0.0002, 0.5001, 0.2348), Ni at (0.0000, 0.5000, 0.5000), Ru at (0.0000, 0.0000, 0.5000), Cl at (0.0000, 0.0000, 0.0000) and Cl at (0.0000, 0.5000, 0.0000).

6.
## DyTm2PaCo2 (PBE)

Data for a geometry-optimized DyTm2PaCo2 structure.

As for the energy relative to the elements: -179 meV per atom.

The structure belongs to space group Ibam (No. 72); the cell edges are 6.8210, 12.5143 and 6.6824 Å and the angles 90.00°, 90.00° and 90.00°. The asymmetric unit holds Dy at (0.0000, 0.0000, 0.2500), Tm at (0.1927, 0.2970, 0.0000), Pa at (0.0000, 0.5000, 0.2500) and Co at (0.2043, 0.4082, 0.5000).

7.
## TbDy6Ho3Th2 (PBE)

Data for a geometry-optimized TbDy6Ho3Th2 structure.

As for the energy relative to the elements: 26 meV per atom.

The structure belongs to space group C2/m (No. 12); the cell edges are 6.1513, 10.6431 and 11.7453 Å and the angles 90.00°, 100.06° and 90.00°. The asymmetric unit holds Tb at (0.0000, 0.0000, 0.0000), Dy at (0.2464, 0.5000, 0.2488), Dy at (0.2481, 0.3316, 0.7514), Ho at (0.0000, 0.1664, 0.5000), Ho at (0.0000, 0.5000, 0.5000) and Th at (0.0000, 0.3333, 0.0000).

8.
## NbGaFeRe (PBE)

Data for a geometry-optimized NbGaFeRe structure.

As for the energy relative to the elements: -50 meV per atom.

The structure belongs to space group F-43m (No. 216); the cell edges are 6.1642, 6.1642 and 6.1642 Å and the angles 90.00°, 90.00° and 90.00°. The asymmetric unit holds Nb at (0.0000, 0.0000, 0.0000), Ga at (0.0000, 0.0000, 0.5000), Fe at (0.2500, 0.2500, 0.2500) and Re at (0.2500, 0.2500, 0.7500).

9.
## NaFeB3 (PBE)

Data for a geometry-optimized NaFeB3 structure.

The polymorph energy (0 for the lowest one) comes out at 0 meV per atom. As for the energy relative to the elements: 472 meV per atom.

The structure belongs to space group Pm-3m (No. 221); the cell edges are 3.8168, 3.8168 and 3.8168 Å and the angles 90.00°, 90.00° and 90.00°. The asymmetric unit holds Na at (0.0000, 0.0000, 0.0000), Fe at (0.5000, 0.5000, 0.5000) and B at (0.0000, 0.5000, 0.5000).

10.
## BaTiP2Se8 (PBE)

Data for a geometry-optimized BaTiP2Se8 structure.

The uncorrected formation energy is -0.62 eV/atom.

The structure belongs to space group P-3 (No. 147); the cell edges are 6.3380, 6.3380 and 9.1094 Å and the angles 90.00°, 90.00° and 120.00°. The asymmetric unit holds Ba at (0.0000, 0.0000, 0.0000), Ti at (0.0000, 0.0000, 0.5000), P at (0.3333, 0.6667, 0.7329), Se at (0.0126, 0.6816, 0.3324) and Se at (0.3333, 0.6667, 0.9718).

11.
## Cr2TcSnH (PBE)

Data for a geometry-optimized Cr2TcSnH structure.

The polymorph energy (0 for the lowest one) comes out at 0 meV per atom.

The structure belongs to space group P4/mmm (No. 123); the cell edges are 3.9654, 3.9654 and 3.9561 Å and the angles 90.00°, 90.00° and 90.00°. The asymmetric unit holds Cr at (0.0000, 0.5000, 0.0000), Tc at (0.0000, 0.0000, 0.5000), Sn at (0.5000, 0.5000, 0.5000) and H at (0.0000, 0.0000, 0.0000).

12.
## CaDyMg2 (PBE)

Data for a geometry-optimized CaDyMg2 structure.

As for the energy relative to the elements: -74 meV per atom.

The structure belongs to space group P4/mmm (No. 123); the cell edges are 5.5139, 5.5139 and 3.8083 Å and the angles 90.00°, 90.00° and 90.00°. The asymmetric unit holds Ca at (0.0000, 0.0000, 0.0000), Dy at (0.5000, 0.5000, 0.0000) and Mg at (0.0000, 0.5000, 0.5000).

13.
## CaCrPt2 (PBE)

Data for a geometry-optimized CaCrPt2 structure.

The polymorph energy (0 for the lowest one) comes out at 41 meV per atom. As for the energy relative to the elements: -375 meV per atom.

The structure belongs to space group P4/mmm (No. 123); the cell edges are 4.3652, 4.3652 and 3.7228 Å and the angles 90.00°, 90.00° and 90.00°. The asymmetric unit holds Ca at (0.0000, 0.0000, 0.0000), Cr at (0.5000, 0.5000, 0.0000) and Pt at (0.0000, 0.5000, 0.5000).

14.
## Li3AsW (PBE)

Data for a geometry-optimized Li3AsW structure.

The polymorph energy (0 for the lowest one) comes out at 0 meV per atom. As for the energy relative to the elements: 1052 meV per atom.

The structure belongs to space group Pm-3m (No. 221); the cell edges are 4.3932, 4.3932 and 4.3932 Å and the angles 90.00°, 90.00° and 90.00°. The asymmetric unit holds Li at (0.0000, 0.0000, 0.5000), As at (0.0000, 0.0000, 0.0000) and W at (0.5000, 0.5000, 0.5000).

15.
## UCoTcNi (PBE)

Data for a geometry-optimized UCoTcNi structure.

As for the energy relative to the elements: -218 meV per atom.

The structure belongs to space group Pmmm (No. 47); the cell edges are 3.7662, 3.9087 and 3.9488 Å and the angles 90.00°, 90.00° and 90.00°. The asymmetric unit holds U at (0.0000, 0.0000, 0.0000), Co at (0.5000, 0.0000, 0.5000), Tc at (0.5000, 0.5000, 0.0000) and Ni at (0.0000, 0.5000, 0.5000).

16.
## TbSmCuOs (PBE)

Data for a geometry-optimized TbSmCuOs structure.

As for the energy relative to the elements: -182 meV per atom.

The structure belongs to space group F-43m (No. 216); the cell edges are 6.9487, 6.9487 and 6.9487 Å and the angles 90.00°, 90.00° and 90.00°. The asymmetric unit holds Tb at (0.0000, 0.0000, 0.0000), Sm at (0.0000, 0.0000, 0.5000), Cu at (0.2500, 0.2500, 0.2500) and Os at (0.2500, 0.2500, 0.7500).

17.
## Ba2Mg5Sn4 (PBE)

Data for a geometry-optimized Ba2Mg5Sn4 structure.

As for the energy relative to the elements: -300 meV per atom.

The structure belongs to space group Fmmm (No. 69); the cell edges are 6.7722, 11.8114 and 16.7817 Å and the angles 90.00°, 90.00° and 90.00°. The asymmetric unit holds Ba at (0.0000, 0.0000, 0.1467), Mg at (0.0000, 0.0000, 0.5000), Mg at (0.2500, 0.2500, 0.0000), Mg at (0.2500, 0.2500, 0.2500) and Sn at (0.0000, 0.1342, 0.3618).

18.
## Cu2IrBr (PBE)

Data for a geometry-optimized Cu2IrBr structure.

The polymorph energy (0 for the lowest one) comes out at 222 meV per atom. The uncorrected formation energy is 0.62 eV/atom.

The structure belongs to space group Cmmm (No. 65); the cell edges are 5.3315, 7.7048 and 2.9374 Å and the angles 90.00°, 90.00° and 90.00°. The asymmetric unit holds Cu at (0.2500, 0.2500, 0.0000), Ir at (0.0000, 0.0000, 0.5000) and Br at (0.0000, 0.5000, 0.5000).

19.
## AcCdBiRu (PBE)

Data for a geometry-optimized AcCdBiRu structure.

As for the energy relative to the elements: 89 meV per atom.

The structure belongs to space group F-43m (No. 216); the cell edges are 7.4060, 7.4060 and 7.4060 Å and the angles 90.00°, 90.00° and 90.00°. The asymmetric unit holds Ac at (0.0000, 0.0000, 0.0000), Cd at (0.2500, 0.2500, 0.7500), Bi at (0.0000, 0.0000, 0.5000) and Ru at (0.2500, 0.2500, 0.2500).

20.
## Tb4Nd5Ag (PBE)

Data for a geometry-optimized Tb4Nd5Ag structure.

As for the energy relative to the elements: -30 meV per atom.

The structure belongs to space group P4/mmm (No. 123); the cell edges are 3.6445, 3.6445 and 24.3288 Å and the angles 90.00°, 90.00° and 90.00°. The asymmetric unit holds Tb at (0.0000, 0.0000, 0.1046), Tb at (0.0000, 0.0000, 0.3123), Nd at (0.5000, 0.5000, 0.0000), Nd at (0.5000, 0.5000, 0.2091), Nd at (0.5000, 0.5000, 0.4180) and Ag at (0.0000, 0.0000, 0.5000).